No. 1
# PmSmTm2P4, relaxed, DFT GGA-PBE
# * Fermi-level density of states: 0.8 states/eV per cell
# * DFT formation energy: -1.58 eV/atom
# * V: 23.221 Å³ per atom
# * total moment: 0.00 μB per cell
# * symmetry: P2/m (10)
# * final energy: -52.68 eV per cell
data_PmSmTm2P4
_chemical_formula_sum 'Pm1 Sm1 Tm2 P4'
_symmetry_space_group_name_H-M 'P 1'
_symmetry_Int_Tables_number 1
_cell_length_a 4.037
_cell_length_b 6.983
_cell_length_c 6.990
_cell_angle_alpha 70.52
_cell_angle_beta 90.00
_cell_angle_gamma 90.00
loop_
_symmetry_equiv_pos_as_xyz
'x,y,z'
loop_
_atom_site_label
_atom_site_type_symbol
_atom_site_fract_x
_atom_site_fract_y
_atom_site_fract_z
Tm1 Tm 0.500 0.000 0.500
P1 P 0.500 0.239 0.754
Sm1 Sm 0.500 0.500 0.000
P2 P 0.500 0.761 0.246
Pm1 Pm 0.000 0.500 0.500
P3 P 0.000 0.240 0.253
Tm2 Tm 0.000 0.000 0.000
P4 P 0.000 0.760 0.747

---

No. 2
# Pm5Nd5Sm, relaxed, DFT GGA-PBE
# * Fermi-level density of states: 19.4 states/eV per cell
# * DFT formation energy: 0.29 eV/atom
# * V: 35.904 Å³ per atom
# * total moment: 0.00 μB per cell
# * symmetry: P-6m2 (187)
# * final energy: -49.07 eV per cell
# * polymorph energy (0 for the lowest one): 1.76 eV/f.u.
data_Pm5Nd5Sm
_chemical_formula_sum 'Pm5 Nd5 Sm1'
_symmetry_space_group_name_H-M 'P 1'
_symmetry_Int_Tables_number 1
_cell_length_a 6.254
_cell_length_b 6.254
_cell_length_c 11.658
_cell_angle_alpha 90.00
_cell_angle_beta 90.00
_cell_angle_gamma 120.00
loop_
_symmetry_equiv_pos_as_xyz
'x,y,z'
loop_
_atom_site_label
_atom_site_type_symbol
_atom_site_fract_x
_atom_site_fract_y
_atom_site_fract_z
Nd1 Nd 0.000 0.000 0.265
Pm1 Pm 0.333 0.667 0.678
Pm2 Pm 0.333 0.667 0.322
Pm3 Pm 0.667 0.333 0.160
Nd2 Nd 0.000 0.000 0.735
Sm1 Sm 0.333 0.667 0.000
Pm4 Pm 0.000 0.000 0.000
Nd3 Nd 0.340 0.170 0.500
Nd4 Nd 0.830 0.170 0.500
Pm5 Pm 0.667 0.333 0.840
Nd5 Nd 0.830 0.660 0.500

---

No. 3
# La4ZnBr5, relaxed, DFT GGA-PBE
# * Fermi-level density of states: 5.3 states/eV per cell
# * V: 33.843 Å³ per atom
# * total moment: 0.55 μB per cell
# * symmetry: C2/m (12)
# * final energy: -42.95 eV per cell
# * polymorph energy (0 for the lowest one): 0.43 eV/f.u.
data_La4ZnBr5
_chemical_formula_sum 'La4 Zn1 Br5'
_symmetry_space_group_name_H-M 'P 1'
_symmetry_Int_Tables_number 1
_cell_length_a 4.071
_cell_length_b 7.842
_cell_length_c 10.978
_cell_angle_alpha 100.44
_cell_angle_beta 100.68
_cell_angle_gamma 90.00
loop_
_symmetry_equiv_pos_as_xyz
'x,y,z'
loop_
_atom_site_label
_atom_site_type_symbol
_atom_site_fract_x
_atom_site_fract_y
_atom_site_fract_z
La1 La 0.386 0.710 0.772
Br1 Br 0.168 0.577 0.335
La2 La 0.936 0.194 0.873
Zn1 Zn 0.500 0.000 0.000
La3 La 0.064 0.806 0.127
La4 La 0.614 0.290 0.228
Br2 Br 0.832 0.423 0.665
Br3 Br 0.821 0.908 0.642
Br4 Br 0.500 0.500 0.000
Br5 Br 0.179 0.092 0.358

---

No. 4
# ScBRh2, relaxed, DFT GGA-PBE
# * Fermi-level density of states: 2.0 states/eV per cell
# * DFT formation energy: -0.63 eV/atom
# * V: 14.469 Å³ per atom
# * total moment: 0.00 μB per cell
# * symmetry: I-42d (122)
# * final energy: -60.46 eV per cell
data_ScBRh2
_chemical_formula_sum 'Sc2 B2 Rh4'
_symmetry_space_group_name_H-M 'P 1'
_symmetry_Int_Tables_number 1
_cell_length_a 6.717
_cell_length_b 6.717
_cell_length_c 5.398
_cell_angle_alpha 51.53
_cell_angle_beta 51.53
_cell_angle_gamma 90.00
loop_
_symmetry_equiv_pos_as_xyz
'x,y,z'
loop_
_atom_site_label
_atom_site_type_symbol
_atom_site_fract_x
_atom_site_fract_y
_atom_site_fract_z
Rh1 Rh 0.230 0.625 0.250
B1 B 0.250 0.750 0.500
Rh2 Rh 0.375 0.480 0.750
Sc1 Sc 0.750 0.250 0.500
Rh3 Rh 0.875 0.770 0.750
Sc2 Sc 0.000 0.000 0.000
B2 B 0.500 0.500 0.000
Rh4 Rh 0.520 0.125 0.250

---

No. 5
# Cr3SiBi, relaxed, DFT GGA-PBE
# * Fermi-level density of states: 2.8 states/eV per cell
# * V: 20.606 Å³ per atom
# * total moment: 10.92 μB per cell
# * symmetry: Pm-3m (221)
# * final energy: -35.09 eV per cell
# * polymorph energy (0 for the lowest one): 0.00 eV/f.u.
data_Cr3SiBi
_chemical_formula_sum 'Cr3 Si1 Bi1'
_symmetry_space_group_name_H-M 'P 1'
_symmetry_Int_Tables_number 1
_cell_length_a 4.688
_cell_length_b 4.688
_cell_length_c 4.688
_cell_angle_alpha 90.00
_cell_angle_beta 90.00
_cell_angle_gamma 90.00
loop_
_symmetry_equiv_pos_as_xyz
'x,y,z'
loop_
_atom_site_label
_atom_site_type_symbol
_atom_site_fract_x
_atom_site_fract_y
_atom_site_fract_z
Si1 Si 0.000 0.000 0.000
Bi1 Bi 0.500 0.500 0.500
Cr1 Cr 0.000 0.500 0.000
Cr2 Cr 0.000 0.000 0.500
Cr3 Cr 0.500 0.000 0.000

---

No. 6
# NiBRhBr2, relaxed, DFT GGA-PBE
# * Fermi-level density of states: 6.9 states/eV per cell
# * V: 18.039 Å³ per atom
# * total moment: 0.63 μB per cell
# * symmetry: P4/mmm (123)
# * final energy: -17.88 eV per cell
data_NiBRhBr2
_chemical_formula_sum 'Ni1 B1 Rh1 Br2'
_symmetry_space_group_name_H-M 'P 1'
_symmetry_Int_Tables_number 1
_cell_length_a 4.732
_cell_length_b 4.029
_cell_length_c 4.732
_cell_angle_alpha 90.00
_cell_angle_beta 90.00
_cell_angle_gamma 90.00
loop_
_symmetry_equiv_pos_as_xyz
'x,y,z'
loop_
_atom_site_label
_atom_site_type_symbol
_atom_site_fract_x
_atom_site_fract_y
_atom_site_fract_z
Rh1 Rh 0.000 0.500 0.000
Ni1 Ni 0.500 0.500 0.500
Br1 Br 0.000 0.000 0.500
B1 B 0.000 0.000 0.000
Br2 Br 0.500 0.000 0.000

---

No. 7
# Ta3BiCl, relaxed, DFT GGA-PBE
# * Fermi-level density of states: 5.6 states/eV per cell
# * V: 19.918 Å³ per atom
# * total moment: 0.00 μB per cell
# * symmetry: Pm-3m (221)
# * final energy: -36.51 eV per cell
# * polymorph energy (0 for the lowest one): 0.00 eV/f.u.
data_Ta3BiCl
_chemical_formula_sum 'Ta3 Bi1 Cl1'
_symmetry_space_group_name_H-M 'P 1'
_symmetry_Int_Tables_number 1
_cell_length_a 4.635
_cell_length_b 4.635
_cell_length_c 4.635
_cell_angle_alpha 90.00
_cell_angle_beta 90.00
_cell_angle_gamma 90.00
loop_
_symmetry_equiv_pos_as_xyz
'x,y,z'
loop_
_atom_site_label
_atom_site_type_symbol
_atom_site_fract_x
_atom_site_fract_y
_atom_site_fract_z
Ta1 Ta 0.500 0.000 0.000
Cl1 Cl 0.000 0.000 0.000
Ta2 Ta 0.000 0.000 0.500
Ta3 Ta 0.000 0.500 0.000
Bi1 Bi 0.500 0.500 0.500

---

No. 8
# ReIr2Pt, relaxed, DFT GGA-PBE
# * Fermi-level density of states: 3.0 states/eV per cell
# * DFT formation energy: -0.15 eV/atom
# * V: 14.896 Å³ per atom
# * total moment: 0.00 μB per cell
# * symmetry: P4/mmm (123)
# * final energy: -36.81 eV per cell
# * polymorph energy (0 for the lowest one): 0.00 eV/f.u.
data_ReIr2Pt
_chemical_formula_sum 'Re1 Ir2 Pt1'
_symmetry_space_group_name_H-M 'P 1'
_symmetry_Int_Tables_number 1
_cell_length_a 2.755
_cell_length_b 2.755
_cell_length_c 7.850
_cell_angle_alpha 90.00
_cell_angle_beta 90.00
_cell_angle_gamma 90.00
loop_
_symmetry_equiv_pos_as_xyz
'x,y,z'
loop_
_atom_site_label
_atom_site_type_symbol
_atom_site_fract_x
_atom_site_fract_y
_atom_site_fract_z
Re1 Re 0.500 0.500 0.750
Ir1 Ir 0.000 0.000 0.513
Pt1 Pt 0.500 0.500 0.250
Ir2 Ir 0.000 0.000 0.987

---

No. 9
# LiBe2Al2, relaxed, DFT GGA-PBE
# * Fermi-level density of states: 2.8 states/eV per cell
# * DFT formation energy: 0.13 eV/atom
# * V: 13.213 Å³ per atom
# * total moment: 0.00 μB per cell
# * symmetry: P4/mbm (127)
# * final energy: -32.40 eV per cell
# * polymorph energy (0 for the lowest one): 0.00 eV/f.u.
data_LiBe2Al2
_chemical_formula_sum 'Li2 Be4 Al4'
_symmetry_space_group_name_H-M 'P 1'
_symmetry_Int_Tables_number 1
_cell_length_a 6.937
_cell_length_b 6.937
_cell_length_c 2.745
_cell_angle_alpha 90.00
_cell_angle_beta 90.00
_cell_angle_gamma 90.00
loop_
_symmetry_equiv_pos_as_xyz
'x,y,z'
loop_
_atom_site_label
_atom_site_type_symbol
_atom_site_fract_x
_atom_site_fract_y
_atom_site_fract_z
Al1 Al 0.684 0.816 0.500
Be1 Be 0.390 0.890 0.000
Li1 Li 0.500 0.500 0.000
Al2 Al 0.184 0.684 0.500
Be2 Be 0.610 0.110 0.000
Be3 Be 0.890 0.610 0.000
Al3 Al 0.316 0.184 0.500
Al4 Al 0.816 0.316 0.500
Be4 Be 0.110 0.390 0.000
Li2 Li 0.000 0.000 0.000

---

No. 10
# MgReBr, relaxed, DFT GGA-PBE
# * Fermi-level density of states: 1.3 states/eV per cell
# * V: 24.847 Å³ per atom
# * total moment: 0.00 μB per cell
# * symmetry: P-1 (2)
# * final energy: -32.56 eV per cell
# * polymorph energy (0 for the lowest one): 0.14 eV/f.u.
data_MgReBr
_chemical_formula_sum 'Mg2 Re2 Br2'
_symmetry_space_group_name_H-M 'P 1'
_symmetry_Int_Tables_number 1
_cell_length_a 3.632
_cell_length_b 3.631
_cell_length_c 13.215
_cell_angle_alpha 97.69
_cell_angle_beta 90.07
_cell_angle_gamma 120.01
loop_
_symmetry_equiv_pos_as_xyz
'x,y,z'
loop_
_atom_site_label
_atom_site_type_symbol
_atom_site_fract_x
_atom_site_fract_y
_atom_site_fract_z
Mg1 Mg 0.925 0.851 0.273
Br1 Br 0.783 0.562 0.851
Br2 Br 0.217 0.438 0.149
Mg2 Mg 0.075 0.149 0.727
Re1 Re 0.652 0.304 0.455
Re2 Re 0.348 0.696 0.545

---

No. 11
# Y2CdHg2, relaxed, DFT GGA-PBE
# * Fermi-level density of states: 4.2 states/eV per cell
# * DFT formation energy: -0.07 eV/atom
# * V: 29.503 Å³ per atom
# * total moment: 0.00 μB per cell
# * symmetry: I4/mmm (139)
# * final energy: -14.81 eV per cell
# * polymorph energy (0 for the lowest one): 1.77 eV/f.u.
data_Y2CdHg2
_chemical_formula_sum 'Y2 Cd1 Hg2'
_symmetry_space_group_name_H-M 'P 1'
_symmetry_Int_Tables_number 1
_cell_length_a 5.779
_cell_length_b 5.779
_cell_length_c 6.018
_cell_angle_alpha 61.30
_cell_angle_beta 61.30
_cell_angle_gamma 90.00
loop_
_symmetry_equiv_pos_as_xyz
'x,y,z'
loop_
_atom_site_label
_atom_site_type_symbol
_atom_site_fract_x
_atom_site_fract_y
_atom_site_fract_z
Y1 Y 0.250 0.750 0.500
Hg1 Hg 0.653 0.653 0.693
Y2 Y 0.750 0.250 0.500
Hg2 Hg 0.347 0.347 0.307
Cd1 Cd 0.000 0.000 0.000

---

No. 12
# TaRh5, relaxed, DFT GGA-PBE
# * Fermi-level density of states: 10.7 states/eV per cell
# * DFT formation energy: 0.01 eV/atom
# * V: 15.328 Å³ per atom
# * total moment: 0.00 μB per cell
# * symmetry: F-43m (216)
# * final energy: -48.58 eV per cell
data_TaRh5
_chemical_formula_sum 'Ta1 Rh5'
_symmetry_space_group_name_H-M 'P 1'
_symmetry_Int_Tables_number 1
_cell_length_a 5.067
_cell_length_b 5.067
_cell_length_c 5.067
_cell_angle_alpha 60.00
_cell_angle_beta 60.00
_cell_angle_gamma 60.00
loop_
_symmetry_equiv_pos_as_xyz
'x,y,z'
loop_
_atom_site_label
_atom_site_type_symbol
_atom_site_fract_x
_atom_site_fract_y
_atom_site_fract_z
Rh1 Rh 0.750 0.750 0.750
Ta1 Ta 0.000 0.000 0.000
Rh2 Rh 0.376 0.376 0.873
Rh3 Rh 0.376 0.376 0.376
Rh4 Rh 0.376 0.873 0.376
Rh5 Rh 0.873 0.376 0.376